[1]
CdFeCo3 | PBEsol | relaxed

Calculated values
* energy relative to the elements: 204 kJ/mol of atoms
* raw total energy: -22.780 eV per cell

```
data_CdFeCo3
_symmetry_space_group_name_H-M 'P m -3 m'
_symmetry_Int_Tables_number 221
_symmetry_space_group_name_Hall '-P 4 2 3'
_cell_length_a 4.524
_cell_length_b 4.524
_cell_length_c 4.524
_cell_angle_alpha 90.00
_cell_angle_beta 90.00
_cell_angle_gamma 90.00
loop_
_atom_site_label
_atom_site_fract_x
_atom_site_fract_y
_atom_site_fract_z
_atom_site_occupancy
Cd1 0.000 0.000 0.000 1
Fe1 0.500 0.500 0.500 1
Co1 0.000 0.000 0.500 1
```



[2]
Hf6Co16Ge7 | PBEsol | relaxed

Calculated values
* energy relative to the elements: -53 kJ/mol of atoms
* raw total energy: -948.882 eV per cell

```
data_Hf6Co16Ge7
_symmetry_space_group_name_H-M 'F m -3 m'
_symmetry_Int_Tables_number 225
_symmetry_space_group_name_Hall '-F 4 2 3'
_cell_length_a 11.360
_cell_length_b 11.360
_cell_length_c 11.360
_cell_angle_alpha 90.00
_cell_angle_beta 90.00
_cell_angle_gamma 90.00
loop_
_atom_site_label
_atom_site_fract_x
_atom_site_fract_y
_atom_site_fract_z
_atom_site_occupancy
Hf1 0.000 0.000 0.204 1
Co1 0.121 0.121 0.379 1
Co2 0.170 0.170 0.170 1
Ge1 0.000 0.000 0.500 1
Ge2 0.000 0.250 0.250 1
```



[3]
MnHgAsW2 | PBEsol | relaxed

Calculated values
* energy relative to the elements: 120 kJ/mol of atoms
* raw total energy: -36.847 eV per cell

```
data_MnHgAsW2
_symmetry_space_group_name_H-M 'P 4/m m m'
_symmetry_Int_Tables_number 123
_symmetry_space_group_name_Hall '-P 4 2'
_cell_length_a 4.573
_cell_length_b 4.573
_cell_length_c 4.258
_cell_angle_alpha 90.00
_cell_angle_beta 90.00
_cell_angle_gamma 90.00
loop_
_atom_site_label
_atom_site_fract_x
_atom_site_fract_y
_atom_site_fract_z
_atom_site_occupancy
Mn1 0.000 0.000 0.000 1
Hg1 0.500 0.500 0.500 1
As1 0.000 0.000 0.500 1
W1 0.000 0.500 0.000 1
```



[4]
Li2HgPt | PBEsol | relaxed

Calculated values
* energy relative to the elements: -42 kJ/mol of atoms
* raw total energy: -26.429 eV per cell

```
data_Li2HgPt
_symmetry_space_group_name_H-M 'C m m m'
_symmetry_Int_Tables_number 65
_symmetry_space_group_name_Hall '-C 2 2'
_cell_length_a 5.563
_cell_length_b 7.050
_cell_length_c 2.972
_cell_angle_alpha 90.00
_cell_angle_beta 90.00
_cell_angle_gamma 90.00
loop_
_atom_site_label
_atom_site_fract_x
_atom_site_fract_y
_atom_site_fract_z
_atom_site_occupancy
Li1 0.250 0.250 0.000 1
Hg1 0.000 0.000 0.500 1
Pt1 0.000 0.500 0.500 1
```



[5]
Ta2AlW | PBEsol | relaxed

Calculated values
* energy relative to the elements: -9 kJ/mol of atoms
* raw total energy: -43.385 eV per cell

```
data_Ta2AlW
_symmetry_space_group_name_H-M 'P 4/m m m'
_symmetry_Int_Tables_number 123
_symmetry_space_group_name_Hall '-P 4 2'
_cell_length_a 4.376
_cell_length_b 4.376
_cell_length_c 3.430
_cell_angle_alpha 90.00
_cell_angle_beta 90.00
_cell_angle_gamma 90.00
loop_
_atom_site_label
_atom_site_fract_x
_atom_site_fract_y
_atom_site_fract_z
_atom_site_occupancy
Ta1 0.000 0.500 0.000 1
Al1 0.000 0.000 0.500 1
W1 0.500 0.500 0.500 1
```



[6]
RbTl2Sb2 | PBEsol | relaxed

Calculated values
* ΔE to the lowest computed polymorph: 69 meV/atom
* raw total energy: -31.753 eV per cell
* energy relative to the elements, uncorrected: -0.095 eV per atom

```
data_RbTl2Sb2
_symmetry_space_group_name_H-M 'P 4/m b m'
_symmetry_Int_Tables_number 127
_symmetry_space_group_name_Hall '-P 4 2ab'
_cell_length_a 9.319
_cell_length_b 9.319
_cell_length_c 3.577
_cell_angle_alpha 90.00
_cell_angle_beta 90.00
_cell_angle_gamma 90.00
loop_
_atom_site_label
_atom_site_fract_x
_atom_site_fract_y
_atom_site_fract_z
_atom_site_occupancy
Rb1 0.000 0.000 0.000 1
Tl1 0.130 0.370 0.000 1
Sb1 0.165 0.665 0.500 1
```



[7]
CaTlS2Cl | PBEsol | relaxed

Calculated values
* raw total energy: -18.578 eV per cell
* energy relative to the elements, uncorrected: -0.608 eV per atom

```
data_CaTlS2Cl
_symmetry_space_group_name_H-M 'P 4/m m m'
_symmetry_Int_Tables_number 123
_symmetry_space_group_name_Hall '-P 4 2'
_cell_length_a 5.305
_cell_length_b 5.305
_cell_length_c 5.226
_cell_angle_alpha 90.00
_cell_angle_beta 90.00
_cell_angle_gamma 90.00
loop_
_atom_site_label
_atom_site_fract_x
_atom_site_fract_y
_atom_site_fract_z
_atom_site_occupancy
Ca1 0.000 0.000 0.000 1
Tl1 0.500 0.500 0.500 1
S1 0.000 0.500 0.000 1
Cl1 0.000 0.000 0.500 1
```



[8]
BaBeHg2 | PBEsol | relaxed

Calculated values
* energy relative to the elements: -1 kJ/mol of atoms
* raw total energy: -14.662 eV per cell

```
data_BaBeHg2
_symmetry_space_group_name_H-M 'I m m 2'
_symmetry_Int_Tables_number 44
_cell_length_a 4.584
_cell_length_b 5.896
_cell_length_c 7.968
_cell_angle_alpha 90.00
_cell_angle_beta 90.00
_cell_angle_gamma 90.00
loop_
_symmetry_equiv_pos_as_xyz
'x,y,z'
'-x,-y,z'
'-x,y,z'
'x,-y,z'
'x+1/2,y+1/2,z+1/2'
'-x+1/2,-y+1/2,z+1/2'
'-x+1/2,y+1/2,z+1/2'
'x+1/2,-y+1/2,z+1/2'
loop_
_atom_site_label
_atom_site_fract_x
_atom_site_fract_y
_atom_site_fract_z
_atom_site_occupancy
Ba1 0.000 0.000 0.000 1
Be1 0.000 0.500 0.139 1
Hg1 0.000 0.000 0.584 1
Hg2 0.000 0.500 0.808 1
```



[9]
CdCu3 | PBEsol | relaxed

Calculated values
* energy relative to the elements: 9 kJ/mol of atoms
* raw total energy: -27.686 eV per cell

```
data_CdCu3
_symmetry_space_group_name_H-M 'C 1 2/m 1'
_symmetry_Int_Tables_number 12
_cell_length_a 8.739
_cell_length_b 2.766
_cell_length_c 4.546
_cell_angle_alpha 90.00
_cell_angle_beta 103.13
_cell_angle_gamma 90.00
loop_
_symmetry_equiv_pos_as_xyz
'x,y,z'
'-x,-y,-z'
'-x,y,-z'
'x,-y,z'
'x+1/2,y+1/2,z'
'-x+1/2,-y+1/2,-z'
'-x+1/2,y+1/2,-z'
'x+1/2,-y+1/2,z'
loop_
_atom_site_label
_atom_site_fract_x
_atom_site_fract_y
_atom_site_fract_z
_atom_site_occupancy
Cd1 0.000 0.000 0.000 1
Cu1 0.000 0.500 0.500 1
Cu2 0.241 0.000 0.728 1
```



[10]
Cs4ZnO3 | PBEsol | relaxed

Calculated values
* raw total energy: -123.667 eV per cell
* energy relative to the elements, uncorrected: -1.227 eV per atom

```
data_Cs4ZnO3
_symmetry_space_group_name_H-M 'P 1 21/c 1'
_symmetry_Int_Tables_number 14
_cell_length_a 7.090
_cell_length_b 18.487
_cell_length_c 6.984
_cell_angle_alpha 90.00
_cell_angle_beta 115.95
_cell_angle_gamma 90.00
loop_
_symmetry_equiv_pos_as_xyz
'x,y,z'
'-x,-y,-z'
'-x,y+1/2,-z+1/2'
'x,-y+1/2,z+1/2'
loop_
_atom_site_label
_atom_site_fract_x
_atom_site_fract_y
_atom_site_fract_z
_atom_site_occupancy
Cs1 0.154 0.076 0.155 1
Cs2 0.212 0.695 0.175 1
Cs3 0.293 0.501 0.208 1
Cs4 0.329 0.194 0.782 1
Zn1 0.286 0.616 0.788 1
O1 0.036 0.592 0.810 1
O2 0.309 0.599 0.530 1
O3 0.491 0.164 0.481 1
```